Entry from Alexandria via LeMat-Bulk: crystalline Dy3HgRu at its relaxed geometry (PBE-GGA).

## Properties
The density of states at the Fermi level is 30.0 states/eV per cell. The formation energy from the elements is -0.408 eV/atom. The calculation puts the total energy at -203.39 eV/cell.

```
data_Dy3HgRu
_chemical_formula_sum 'Dy24 Hg8 Ru8'
_cell_length_a 6.487
_cell_length_b 9.769
_cell_length_c 15.945
_cell_angle_alpha 90.00
_cell_angle_beta 90.00
_cell_angle_gamma 90.00
_space_group_name_H-M_alt 'F m m m'
_space_group_IT_number 69
_space_group_name_Hall '-F 2 2'
loop_
_atom_site_label
_atom_site_type_symbol
_atom_site_fract_x
_atom_site_fract_y
_atom_site_fract_z
_atom_site_occupancy
Dy1 Dy 0.000 0.000 0.197 1
Dy2 Dy 0.000 0.186 0.388 1
Hg1 Hg 0.215 0.000 0.000 1
Ru1 Ru 0.250 0.250 0.250 1
```

---

Entry from Alexandria via LeMat-Bulk: crystalline Ce4W at its relaxed geometry (PBE-GGA).

## Properties
The density of states at the Fermi level is 18.7 states/eV per cell. The formation energy from the elements is 0.551 eV/atom. The calculation puts the total energy at -33.93 eV/cell.

```
data_Ce4W
_chemical_formula_sum 'Ce4 W1'
_cell_length_a 5.450
_cell_length_b 5.450
_cell_length_c 5.450
_cell_angle_alpha 90.00
_cell_angle_beta 90.00
_cell_angle_gamma 90.00
_space_group_name_H-M_alt 'P m -3 m'
_space_group_IT_number 221
_space_group_name_Hall '-P 4 2 3'
loop_
_atom_site_label
_atom_site_type_symbol
_atom_site_fract_x
_atom_site_fract_y
_atom_site_fract_z
_atom_site_occupancy
Ce1 Ce 0.000 0.000 0.000 1
Ce2 Ce 0.000 0.500 0.500 1
W1 W 0.500 0.500 0.500 1
```

---

Entry from Alexandria via LeMat-Bulk: crystalline Sr12Pt3O5 at its relaxed geometry (PBE-GGA).

## Properties
The density of states at the Fermi level is 78.5 states/eV per cell. Its uncorrected formation energy is -1536 meV/atom. The calculation puts the total energy at -750.55 eV/cell.

```
data_Sr12Pt3O5
_chemical_formula_sum 'Sr96 Pt24 O40'
_cell_length_a 16.442
_cell_length_b 16.442
_cell_length_c 16.442
_cell_angle_alpha 90.00
_cell_angle_beta 90.00
_cell_angle_gamma 90.00
_space_group_name_H-M_alt 'I a -3 d'
_space_group_IT_number 230
_space_group_name_Hall '-I 4bd 2c 3'
loop_
_atom_site_label
_atom_site_type_symbol
_atom_site_fract_x
_atom_site_fract_y
_atom_site_fract_z
_atom_site_occupancy
Sr1 Sr 0.030 0.051 0.652 1
Pt1 Pt 0.000 0.250 0.125 1
O1 O 0.000 0.000 0.000 1
O2 O 0.000 0.250 0.375 1
```